Entry from Alexandria via LeMat-Bulk: a relaxed PmTmTh crystal (PBE-GGA).

POSCAR file:
```
PmTmTh
1.0
-10.2551 -1.3251 -4.4522
-0.4041 -6.4040 2.8369
0.5728 2.2385 5.1348
Tm Th Pm
4 4 4
Cartesian
-6.8567 -5.7951 3.2921
-8.5593 -3.5599 -0.5803
-1.5271 -1.9307 4.0998
-3.2297 0.3045 0.2274
-4.6540 0.0030 3.6054
0.4700 0.6094 5.8564
-10.5564 -6.1000 -2.3369
-5.4324 -5.4936 -0.0859
-1.3180 1.2704 2.6802
-3.4387 -2.8966 1.6470
-8.7684 -6.7610 0.8393
-6.6477 -2.5940 1.8725
```

E_tot	-5.478	eV/atom



Entry from Alexandria via LeMat-Bulk: a relaxed Pm4Tm5Th crystal (PBE-GGA).

POSCAR file:
```
Pm4Tm5Th
1.0
6.2947 0.0000 0.0000
3.1474 7.2540 0.0000
3.1474 0.0000 7.2540
Tm Th Pm
5 1 4
Cartesian
4.3630 0.0000 0.0000
5.9778 0.5548 2.7253
5.9778 6.6993 4.5287
2.8305 4.5287 0.5548
9.1252 2.7253 6.6993
1.4126 0.0000 0.0000
9.1181 5.0865 4.4436
2.8234 2.1675 2.8105
5.9707 2.8105 5.0865
5.9708 4.4436 2.1675
```

E_tot	-4.561	eV/atom



| no. | polymorph energy (0 for the lowest one) (meV per atom) | ΔE_f (eV/atom) |
| --- | --- | --- |
| 1 | 42 | 0.07 |
| 2 | 233 | 0.32 |